[1]
TmPaBe | PBE | optimized geometry

Output
- Energy of formation: 19.1 kJ/mol of atoms

abc: 5.6456 9.4233 19.0808
angles: 90.00 90.00 90.00
Space group Fddd (No. 70, origin choice 2)
Asymmetric unit:
Tm (0.1250, 0.2975, 0.1250) x16
Pa (0.1250, 0.1250, 0.5436) x16
Be (0.1250, 0.1250, 0.0004) x16



[2]
CaTc2Pb | PBE | optimized geometry

Output
- Energy of formation: 69.9 kJ/mol of atoms

abc: 5.9616 9.6235 2.9828
angles: 90.00 115.20 90.00
Space group C2/m (No. 12)
Asymmetric unit:
Ca (0.0000, 0.0000, 0.0000) x2
Tc (0.2500, 0.2500, 0.5000) x4
Pb (0.0000, 0.5000, 0.0000) x2



[3]
Y3P | PBE | optimized geometry

Output
- Energy of formation: -54.1 kJ/mol of atoms

abc: 3.5956 3.5956 8.2775
angles: 90.00 90.00 90.00
Space group P4/mmm (No. 123)
Asymmetric unit:
Y (0.0000, 0.0000, 0.0000) x1
Y (0.5000, 0.5000, 0.3115) x2
P (0.0000, 0.0000, 0.5000) x1



[4]
BaAgN | PBE | optimized geometry

Output
- Raw formation energy: 0.30 eV/f.u.

abc: 5.5435 5.7668 8.5755
angles: 90.00 90.00 90.00
Space group Cmme (No. 67)
Asymmetric unit:
Ba (0.0000, 0.2500, 0.1637) x4
Ag (0.0000, 0.2500, 0.5804) x4
N (0.0000, 0.2500, 0.8356) x4



[5]
CuTe2O2 | PBE | optimized geometry

Output
- Raw formation energy: 1.29 eV/f.u.

abc: 4.7936 4.7936 7.4178
angles: 90.00 90.00 90.00
Space group I4/mmm (No. 139)
Asymmetric unit:
Cu (0.0000, 0.0000, 0.0000) x2
Te (0.0000, 0.5000, 0.2500) x4
O (0.0000, 0.0000, 0.4101) x4



[6]
TmHfGa | PBE | optimized geometry

Output
- Energy of formation: -38.0 kJ/mol of atoms

abc: 4.2110 4.2110 7.7602
angles: 90.00 90.00 90.00
Space group P4/nmm (No. 129, origin choice 2)
Asymmetric unit:
Tm (0.2500, 0.2500, 0.1539) x2
Hf (0.2500, 0.7500, 0.5000) x2
Ga (0.2500, 0.2500, 0.7606) x2



[7]
Ta4Mn5Al | PBE | optimized geometry

Output
- Energy of formation: -22.1 kJ/mol of atoms

abc: 3.0643 3.0643 14.9543
angles: 90.00 90.00 90.00
Space group P4/mmm (No. 123)
Asymmetric unit:
Ta (0.0000, 0.0000, 0.1026) x2
Ta (0.0000, 0.0000, 0.3084) x2
Mn (0.5000, 0.5000, 0.0000) x1
Mn (0.5000, 0.5000, 0.2038) x2
Mn (0.5000, 0.5000, 0.4061) x2
Al (0.0000, 0.0000, 0.5000) x1



[8]
Co2Sb | PBE | optimized geometry

Output
- Raw formation energy: 0.97 eV/f.u.

abc: 4.0338 4.0338 3.2579
angles: 90.00 90.00 120.00
Space group P6/mmm (No. 191)
Asymmetric unit:
Co (0.3333, 0.6667, 0.0000) x2
Sb (0.0000, 0.0000, 0.5000) x1



| no. | uncorrected energy (eV/atom) | N(E_F) (states/eV/atom) |
| --- | --- | --- |
| 1 | -5.700 | 1.619 |
| 2 | -5.886 | 1.368 |
| 3 | -6.761 | 1.284 |
| 4 | -4.266 | 0.769 |
| 5 | -3.800 | 0.689 |
| 6 | -6.211 | 0.883 |
| 7 | -9.929 | 0.737 |
| 8 | -5.787 | 1.021 |